DFT (meta-GGA SCAN) results for AlSiRh2 at its PBEsol-relaxed geometry.

a = 2.843 Å, b = 3.189 Å, c = 5.702 Å
α = 90.00°, β = 89.98°, γ = 90.00°
Sites, in units of the cell vectors:
Rh  0.000  0.000  0.240
Rh  0.000  0.000  0.760
Al  0.500  0.500  0.500
Si  0.500  0.500  0.000

Properties
magnetic moment = 0.000 Bohr magnetons per cell
total energy = -89.2 eV/cell
ΔE_f (raw) = -3.94 eV per formula unit



DFT (meta-GGA SCAN) results for SnSb2Au at its PBEsol-relaxed geometry.

a = 6.352 Å, b = 6.352 Å, c = 7.740 Å
α = 114.22°, β = 114.22°, γ = 90.00°
Sites, in units of the cell vectors:
Au  0.000  0.000  0.000
Au  0.250  0.750  0.500
Sn  0.500  0.500  0.000
Sn  0.750  0.250  0.500
Sb  0.347  0.875  0.250
Sb  0.125  0.097  0.750
Sb  0.625  0.653  0.750
Sb  0.903  0.375  0.250

Properties
magnetic moment = 0.000 Bohr magnetons per cell
total energy = -359.7 eV/cell
ΔE_f (raw) = -0.27 eV per formula unit



DFT (meta-GGA SCAN) results for Mn2AsSe at its PBEsol-relaxed geometry.

a = 3.218 Å, b = 3.220 Å, c = 5.935 Å
α = 90.00°, β = 90.00°, γ = 90.00°
Sites, in units of the cell vectors:
Se  0.000  0.000  0.412
As  0.500  0.500  0.836
Mn  0.000  0.000  0.998
Mn  0.500  0.500  0.254

Properties
magnetic moment = 6.171 Bohr magnetons per cell
total energy = -78.3 eV/cell
ΔE_f (raw) = -1.55 eV per formula unit



DFT (meta-GGA SCAN) results for Zn2MoCl at its PBEsol-relaxed geometry.

a = 2.736 Å, b = 4.260 Å, c = 5.421 Å
α = 96.28°, β = 104.62°, γ = 90.00°
Sites, in units of the cell vectors:
Mo  0.000  0.500  0.000
Cl  0.500  0.000  0.000
Zn  0.730  0.738  0.461
Zn  0.270  0.262  0.539

Properties
magnetic moment = 0.001 Bohr magnetons per cell
total energy = -68.3 eV/cell
E above lowest polymorph = 167 meV/atom
ΔE_f (raw) = 1.55 eV per formula unit



DFT (meta-GGA SCAN) results for LaTeAs at its PBEsol-relaxed geometry.

a = 3.903 Å, b = 4.872 Å, c = 4.872 Å
α = 120.00°, β = 90.00°, γ = 90.00°
Sites, in units of the cell vectors:
As  0.500  0.000  0.000
La  0.000  0.333  0.667
Te  0.500  0.667  0.333

Properties
magnetic moment = 0.000 Bohr magnetons per cell
total energy = -103.3 eV/cell
ΔE_f (raw) = -2.72 eV per formula unit



DFT (meta-GGA SCAN) results for La3In at its PBEsol-relaxed geometry.

a = 4.960 Å, b = 4.960 Å, c = 4.960 Å
α = 90.00°, β = 90.00°, γ = 90.00°
Sites, in units of the cell vectors:
In  0.000  0.000  0.000
La  0.500  0.000  0.500
La  0.000  0.500  0.500
La  0.500  0.500  0.000

Properties
ΔE_f = -0.4109 eV per atom
magnetic moment = 0.536 Bohr magnetons per cell
total energy = -164.3 eV/cell
E above lowest polymorph = 6 meV/atom



DFT (meta-GGA SCAN) results for UFeC2 at its PBEsol-relaxed geometry.

a = 3.470 Å, b = 3.470 Å, c = 7.057 Å
α = 90.00°, β = 90.00°, γ = 90.00°
Sites, in units of the cell vectors:
Fe  0.000  0.000  0.000
Fe  0.500  0.500  0.000
U  0.000  0.500  0.686
U  0.500  0.000  0.314
C  0.500  0.000  0.638
C  0.000  0.500  0.362
C  0.500  0.000  0.850
C  0.000  0.500  0.150

Properties
ΔE_f = -0.0087 eV per atom
magnetic moment = 0.002 Bohr magnetons per cell
total energy = -283.8 eV/cell



DFT (meta-GGA SCAN) results for BeInCo2 at its PBEsol-relaxed geometry.

a = 3.705 Å, b = 3.705 Å, c = 8.487 Å
α = 102.61°, β = 102.61°, γ = 90.00°
Sites, in units of the cell vectors:
Co  0.775  0.375  0.250
Co  0.125  0.225  0.750
Co  0.625  0.525  0.750
Co  0.475  0.875  0.250
Be  0.500  0.500  0.000
Be  0.750  0.250  0.500
In  0.250  0.750  0.500
In  0.000  0.000  0.000

Properties
ΔE_f = 0.5289 eV per atom
magnetic moment = 4.893 Bohr magnetons per cell
total energy = -140.5 eV/cell



Q: What is the magnetic moment in the fifth record?
A: 0.000 Bohr magnetons per cell